No. 1
Compound: TlPdF3
Source: the Alexandria database
Functional: PBE-GGA
Structure: relaxed

The structure belongs to space group P2_1/c (No. 14); the cell edges are 7.5389, 4.5061 and 12.6861 Å and the angles 90.00°, 118.97° and 90.00°. The asymmetric unit holds Tl at (0.1988, 0.0097, 0.1903), Pd at (0.3626, 0.7455, 0.5041), F at (0.1059, 0.5719, 0.8830), F at (0.3698, 0.0366, 0.8789) and F at (0.3734, 0.0029, 0.6333).

As for the crystal system: monoclinic. The value obtained for the formation energy (no corrections) is -1.431 eV/atom.

=====

No. 2
Compound: NbVBr2
Source: the Alexandria database
Functional: PBE-GGA
Structure: relaxed

The structure belongs to space group I-42d (No. 122); the cell edges are 6.0799, 6.0799 and 10.7830 Å and the angles 90.00°, 90.00° and 90.00°. The asymmetric unit holds Nb at (0.0000, 0.0000, 0.0000), V at (0.0000, 0.0000, 0.5000) and Br at (0.2369, 0.2500, 0.6250).

As for the crystal system: tetragonal. The value obtained for the formation energy (no corrections) is 0.700 eV/atom.

=====

No. 3
Compound: AcBe4Pb3O12
Source: the Alexandria database
Functional: PBE-GGA
Structure: relaxed

The structure belongs to space group R32 (No. 155, hexagonal axes); the cell edges are 10.5212, 10.5212 and 8.2733 Å and the angles 90.00°, 90.00° and 120.00°. The asymmetric unit holds Ac at (0.0000, 0.0000, 0.0000), Be at (0.0000, 0.0000, 0.5000), Be at (0.0000, 0.4417, 0.5000), Pb at (0.0000, 0.5504, 0.0000), O at (0.0000, 0.5901, 0.5000), O at (0.0000, 0.8534, 0.5000) and O at (0.0296, 0.2100, 0.1799).

As for the crystal system: trigonal. The value obtained for the formation energy (no corrections) is -1.776 eV/atom.

=====

No. 4
Compound: AlFe2Ge
Source: the Alexandria database
Functional: PBE-GGA
Structure: relaxed

The structure belongs to space group Immm (No. 71); the cell edges are 2.8387, 4.3904 and 9.8757 Å and the angles 90.00°, 90.00° and 90.00°. The asymmetric unit holds Al at (0.0000, 0.0000, 0.0000), Fe at (0.0000, 0.0000, 0.2550) and Ge at (0.0000, 0.0000, 0.5000).

As for the crystal system: orthorhombic. Its formation enthalpy at 0 K is 0.5165 eV/atom.